1.
## TaCoMo (PBE-GGA)

Data for a relaxed TaCoMo crystal.

Cell: 4.729 4.729 5.238 Å, 117.68 117.68 67.15°
Positions (direct):
Ta (0.140, 0.860, 0.500)
Ta (0.860, 0.140, 0.000)
Co (0.597, 0.741, 0.980)
Co (0.741, 0.597, 0.480)
Mo (0.196, 0.460, 0.939)
Mo (0.460, 0.196, 0.439)

Results
Energy above the most stable polymorph in this dataset   199 meV per atom
Formation enthalpy at 0 K   0.18 eV/f.u.
Symmetry   Cc


2.
## U3Ag2Se8 (PBE-GGA)

Data for a relaxed U3Ag2Se8 crystal.

Cell: 8.054 8.054 7.205 Å, 108.16 108.16 62.34°
Positions (direct):
U (0.000, 0.000, 0.000)
U (0.255, 0.745, 0.500)
U (0.745, 0.255, 0.500)
Ag (0.341, 0.341, 0.897)
Ag (0.659, 0.659, 0.103)
Se (0.116, 0.651, 0.740)
Se (0.118, 0.118, 0.747)
Se (0.349, 0.884, 0.260)
Se (0.375, 0.375, 0.285)
Se (0.625, 0.625, 0.715)
Se (0.651, 0.116, 0.740)
Se (0.882, 0.882, 0.253)
Se (0.884, 0.349, 0.260)

Results
Total DFT energy (no corrections)   -77.79 eV per formula unit
Symmetry   C2/m


3.
## U2HgCl8 (PBE-GGA)

Data for a relaxed U2HgCl8 crystal.

Cell: 7.330 7.330 7.745 Å, 90.32 90.32 114.64°
Positions (direct):
U (0.177, 0.823, 0.000)
U (0.823, 0.177, 0.000)
Hg (0.573, 0.573, 0.513)
Cl (0.123, 0.123, 0.830)
Cl (0.140, 0.482, 0.174)
Cl (0.173, 0.711, 0.692)
Cl (0.482, 0.140, 0.174)
Cl (0.539, 0.797, 0.968)
Cl (0.711, 0.173, 0.692)
Cl (0.797, 0.539, 0.968)
Cl (0.962, 0.962, 0.220)

Results
Total DFT energy (no corrections)   -53.86 eV per formula unit
Symmetry   Cm


4.
## AcErSc2 (PBE-GGA)

Data for a relaxed AcErSc2 crystal.

Cell: 5.226 5.226 4.430 Å, 90.00 90.00 90.00°
Positions (direct):
Ac (0.000, 0.000, 0.000)
Er (0.500, 0.500, 0.000)
Sc (0.000, 0.500, 0.500)
Sc (0.500, 0.000, 0.500)

Results
Energy above the most stable polymorph in this dataset   16 meV per atom
Formation enthalpy at 0 K   0.44 eV/f.u.
Symmetry   P4/mmm


5.
## Rb2SiH (PBE-GGA)

Data for a relaxed Rb2SiH crystal.

Cell: 7.278 7.278 7.278 Å, 110.89 110.89 106.67°
Positions (direct):
Rb (0.039, 0.625, 0.914)
Rb (0.375, 0.289, 0.414)
Rb (0.711, 0.125, 0.086)
Rb (0.875, 0.961, 0.586)
Si (0.250, 0.750, 0.500)
Si (0.500, 0.500, 0.000)
H (0.000, 0.000, 0.000)
H (0.750, 0.250, 0.500)

Results
Energy above the most stable polymorph in this dataset   0 meV per atom
Symmetry   I-42d


6.
## LaNdYAl (PBE-GGA)

Data for a relaxed LaNdYAl crystal.

Cell: 5.514 5.514 5.514 Å, 60.00 60.00 60.00°
Positions (direct):
La (0.000, 0.000, 0.000)
Nd (0.500, 0.500, 0.500)
Y (0.750, 0.750, 0.750)
Al (0.250, 0.250, 0.250)

Results
Formation enthalpy at 0 K   -0.20 eV/f.u.
Symmetry   F-43m


7.
## AgHgIr2 (PBE-GGA)

Data for a relaxed AgHgIr2 crystal.

Cell: 5.843 5.843 5.843 Å, 152.06 130.73 57.59°
Positions (direct):
Ag (0.000, 0.000, 0.000)
Hg (0.285, 0.785, 0.500)
Ir (0.536, 0.536, 0.000)
Ir (0.743, 0.243, 0.500)

Results
Formation enthalpy at 0 K   2.05 eV/f.u.
Symmetry   Imm2


8.
## RuAuC3 (PBE-GGA)

Data for a relaxed RuAuC3 crystal.

Cell: 4.027 4.027 4.027 Å, 90.00 90.00 90.00°
Positions (direct):
Ru (0.000, 0.000, 0.000)
Au (0.500, 0.500, 0.500)
C (0.000, 0.500, 0.500)
C (0.500, 0.000, 0.500)
C (0.500, 0.500, 0.000)

Results
Energy above the most stable polymorph in this dataset   1127 meV per atom
Formation enthalpy at 0 K   16.47 eV/f.u.
Symmetry   Pm-3m


9.
## Al2AgRh (PBE-GGA)

Data for a relaxed Al2AgRh crystal.

Cell: 5.259 5.259 5.259 Å, 45.55 45.55 45.55°
Positions (direct):
Al (0.000, 0.000, 0.000)
Al (0.209, 0.209, 0.209)
Ag (0.429, 0.429, 0.429)
Rh (0.626, 0.626, 0.626)

Results
Energy above the most stable polymorph in this dataset   167 meV per atom
Formation enthalpy at 0 K   -1.51 eV/f.u.
Symmetry   R3m


10.
## CaRuRh (PBE-GGA)

Data for a relaxed CaRuRh crystal.

Cell: 5.406 5.406 5.406 Å, 124.26 118.66 87.56°
Positions (direct):
Ca (0.373, 0.123, 0.250)
Ca (0.627, 0.877, 0.750)
Ru (0.000, 0.000, 0.500)
Ru (0.000, 0.500, 0.000)
Rh (0.000, 0.500, 0.500)
Rh (0.500, 0.500, 0.000)

Results
Energy above the most stable polymorph in this dataset   0 meV per atom
Formation enthalpy at 0 K   -0.48 eV/f.u.
Symmetry   Imma